[1]
TbDy4Pb5 | GGA-PBE | optimized geometry

Computed properties:
* excess energy over the best structure of this formula in the dataset: 0.000 eV/atom
* space-group type: P4/mmm, No. 123

Unit cell a=3.537 b=3.537 c=22.454 alpha=90.00 beta=90.00 gamma=90.00
Sites, in units of the cell vectors:
Tb (0.000, 0.000, 0.000)
Dy (0.000, 0.000, 0.201)
Dy (0.000, 0.000, 0.400)
Dy (0.000, 0.000, 0.600)
Dy (0.000, 0.000, 0.799)
Pb (0.500, 0.500, 0.101)
Pb (0.500, 0.500, 0.300)
Pb (0.500, 0.500, 0.500)
Pb (0.500, 0.500, 0.700)
Pb (0.500, 0.500, 0.899)



[2]
Tb8Dy6Pb | GGA-PBE | optimized geometry

Computed properties:
* space-group type: P-3, No. 147

Unit cell a=6.757 b=9.153 c=9.153 alpha=120.00 beta=90.00 gamma=90.00
Sites, in units of the cell vectors:
Tb (0.883, 0.988, 0.309)
Tb (0.883, 0.691, 0.679)
Tb (0.883, 0.321, 0.012)
Tb (0.117, 0.012, 0.691)
Tb (0.117, 0.309, 0.321)
Tb (0.117, 0.679, 0.988)
Tb (0.814, 0.333, 0.667)
Tb (0.186, 0.667, 0.333)
Dy (0.609, 0.680, 0.076)
Dy (0.609, 0.924, 0.604)
Dy (0.609, 0.396, 0.320)
Dy (0.391, 0.320, 0.924)
Dy (0.391, 0.076, 0.396)
Dy (0.391, 0.604, 0.680)
Pb (0.500, 0.000, 0.000)



[3]
TbDy3Pb4 | GGA-PBE | optimized geometry

Computed properties:
* space-group type: Pmna, No. 53

Unit cell a=6.414 b=6.415 c=11.156 alpha=90.00 beta=90.00 gamma=90.00
Sites, in units of the cell vectors:
Pb (0.000, 0.810, 0.000)
Pb (0.500, 0.310, 0.000)
Pb (0.750, 0.061, 0.750)
Pb (0.250, 0.561, 0.750)
Pb (0.500, 0.810, 0.500)
Pb (0.000, 0.310, 0.500)
Pb (0.250, 0.561, 0.250)
Pb (0.750, 0.061, 0.250)
Tb (0.500, 0.810, 0.000)
Tb (0.500, 0.310, 0.500)
Dy (0.000, 0.310, 0.000)
Dy (0.250, 0.061, 0.750)
Dy (0.750, 0.561, 0.750)
Dy (0.000, 0.810, 0.500)
Dy (0.750, 0.561, 0.250)
Dy (0.250, 0.061, 0.250)



[4]
TbDyPb6 | GGA-PBE | optimized geometry

Computed properties:
* space-group type: P4/mmm, No. 123

Unit cell a=4.879 b=4.879 c=9.765 alpha=90.00 beta=90.00 gamma=90.00
Sites, in units of the cell vectors:
Tb (0.000, 0.000, 0.500)
Dy (0.000, 0.000, 0.000)
Pb (0.500, 0.500, 0.000)
Pb (0.500, 0.500, 0.500)
Pb (0.500, 0.000, 0.250)
Pb (0.500, 0.000, 0.750)
Pb (0.000, 0.500, 0.250)
Pb (0.000, 0.500, 0.750)



| no. | total magnetization (μB/cell) | energy of formation from the pure elements (eV/atom) |
| --- | --- | --- |
| 1 | 0.00 | -0.44 |
| 2 | 0.00 | 0.17 |
| 3 | 0.00 | -0.45 |
| 4 | 0.00 | -0.29 |